Material: Ga4PdPt3
Method: DFT, GGA-PBE
State: optimized geometry

Crystal system ... trigonal
E ... -122.08 eV/cell

abc: 7.0067 7.0067 8.6378
angles: 90.00 90.00 120.00
Closest atoms and distances in Å follow each position.
Space group R3 (No. 146, hexagonal axes)
One atom of each set of equivalent atoms:
Ga: 0.0000 0.0000 0.0000 (multiplicity 3)  1 Pd 2.63, 6 Pt 2.63-2.71
Ga: 0.1036 0.3937 0.2103 (multiplicity 9)  5 Pt 2.60-2.73, 2 Pd 2.61-2.73
Pd: 0.0000 0.0000 0.3043 (multiplicity 3)  7 Ga 2.61-2.73
Pt: 0.0279 0.7616 0.7753 (multiplicity 9)  7 Ga 2.60-2.73

Material: Ta2Ga2PdPt
Method: DFT, GGA-PBE
State: optimized geometry

Crystal system ... monoclinic
E ... -173.95 eV/cell

abc: 7.3982 4.2713 14.1660
angles: 90.00 100.02 90.00
Closest atoms and distances in Å follow each position.
Space group Pm (No. 6)
One atom of each set of equivalent atoms:
Ta: 0.0000 0.0000 0.0000 (multiplicity 1)  2 Pt 2.61, 2 Pd 2.62
Ta: 0.9997 0.5000 0.5003 (multiplicity 1)  1 Pd 2.62, 3 Pt 2.62
Ta: 0.2495 0.5000 0.2499 (multiplicity 1)  3 Pt 2.62, 1 Pd 2.62
Ta: 0.2499 0.0000 0.7500 (multiplicity 1)  1 Pt 2.61, 3 Pd 2.61-2.62
Ta: 0.4992 0.5000 0.9997 (multiplicity 1)  2 Pt 2.61, 2 Pd 2.62
Ta: 0.4999 0.0000 0.5003 (multiplicity 1)  1 Pd 2.62, 3 Pt 2.62
Ta: 0.7499 0.0000 0.2501 (multiplicity 1)  2 Pt 2.61-2.62, 2 Pd 2.62
Ta: 0.7495 0.5000 0.7499 (multiplicity 1)  4 Pd 2.61
Ga: 0.1214 0.5000 0.8739 (multiplicity 1)  2 Pd 2.60, 2 Pt 2.63
Ga: 0.1248 0.0000 0.3751 (multiplicity 1)  4 Pt 2.62
Ga: 0.3754 0.5000 0.6269 (multiplicity 1)  3 Pd 2.61, 1 Pt 2.64
Ga: 0.3779 0.0000 0.1259 (multiplicity 1)  2 Pd 2.60, 2 Pt 2.63
Ga: 0.6242 0.5000 0.3736 (multiplicity 1)  1 Pd 2.60, 3 Pt 2.62
Ga: 0.6274 0.0000 0.8744 (multiplicity 1)  3 Pd 2.60-2.61, 1 Pt 2.64
Ga: 0.8714 0.5000 0.1237 (multiplicity 1)  2 Pd 2.60, 2 Pt 2.63
Ga: 0.8753 0.0000 0.6269 (multiplicity 1)  3 Pd 2.61, 1 Pt 2.64
Pd: 0.0621 0.5000 0.6878 (multiplicity 1)  4 Ga 2.60-2.61, 4 Ta 2.61-2.62
Pd: 0.5625 0.0000 0.6878 (multiplicity 1)  4 Ga 2.60-2.61, 4 Ta 2.61-2.62
Pd: 0.5623 0.5000 0.1874 (multiplicity 1)  4 Ga 2.60, 4 Ta 2.62
Pd: 0.8121 0.5000 0.9373 (multiplicity 1)  4 Ga 2.60-2.61, 4 Ta 2.61-2.62
Pt: 0.0620 0.0000 0.1874 (multiplicity 1)  4 Ta 2.61-2.62, 4 Ga 2.62-2.63
Pt: 0.3121 0.0000 0.9373 (multiplicity 1)  4 Ta 2.61, 4 Ga 2.63-2.64
Pt: 0.3123 0.5000 0.4377 (multiplicity 1)  4 Ga 2.62-2.64, 4 Ta 2.62
Pt: 0.8122 0.0000 0.4377 (multiplicity 1)  4 Ta 2.62, 4 Ga 2.62-2.64

Material: Tb2Ga2Pd3Pt
Method: DFT, GGA-PBE
State: optimized geometry

Crystal system ... trigonal
E ... -44.44 eV/cell

abc: 4.4038 4.4038 9.1074
angles: 90.00 90.00 120.00
Closest atoms and distances in Å follow each position.
Space group P3m1 (No. 156)
One atom of each set of equivalent atoms:
Tb: 0.0000 0.0000 0.0000 (multiplicity 1)  3 Pt 2.96, 5 Pd 2.99-3.04
Tb: 0.3333 0.6667 0.4966 (multiplicity 1)  7 Pd 2.96-3.00, 1 Pt 3.01
Ga: 0.6667 0.3333 0.2444 (multiplicity 1)  3 Pt 2.64, 3 Pd 2.66
Ga: 0.6667 0.3333 0.7465 (multiplicity 1)  6 Pd 2.64-2.65
Pd: 0.0000 0.0000 0.3311 (multiplicity 1)  3 Ga 2.66, 3 Pt 2.95, 3 Tb 2.96
Pd: 0.0000 0.0000 0.6664 (multiplicity 1)  3 Ga 2.65, 3 Pd 2.93
Pd: 0.3333 0.6667 0.8265 (multiplicity 1)  3 Ga 2.64, 3 Pd 2.93
Pt: 0.3333 0.6667 0.1661 (multiplicity 1)  3 Ga 2.64, 3 Pd 2.95

Material: TmGaPdPt
Method: DFT, GGA-PBE
State: optimized geometry

Crystal system ... trigonal
E ... -45.52 eV/cell

abc: 4.3701 4.3701 8.9969
angles: 90.00 90.00 120.00
Closest atoms and distances in Å follow each position.
Space group P-3m1 (No. 164)
One atom of each set of equivalent atoms:
Tm: 0.3333 0.6667 0.2536 (multiplicity 2)  4 Pt 2.89-3.02, 4 Pd 2.96-3.02
Ga: 0.0000 0.0000 0.0000 (multiplicity 1)  6 Pd 2.63
Ga: 0.0000 0.0000 0.5000 (multiplicity 1)  6 Pt 2.65
Pd: 0.3333 0.6667 0.9183 (multiplicity 2)  3 Ga 2.63, 3 Pd 2.92
Pt: 0.3333 0.6667 0.5889 (multiplicity 2)  3 Ga 2.65, 3 Tm 2.89, 1 Pd 2.96

Material: Tm2Ga2PdPt3
Method: DFT, GGA-PBE
State: optimized geometry

Crystal system ... trigonal
E ... -46.76 eV/cell

abc: 4.3662 4.3662 9.0129
angles: 90.00 90.00 120.00
Closest atoms and distances in Å follow each position.
Space group P3m1 (No. 156)
One atom of each set of equivalent atoms:
Tm: 0.0000 0.0000 0.0000 (multiplicity 1)  5 Pt 2.90-3.02, 3 Pd 2.93
Tm: 0.3333 0.6667 0.5032 (multiplicity 1)  7 Pt 2.91-3.05, 1 Pd 3.04
Ga: 0.6667 0.3333 0.2575 (multiplicity 1)  3 Pt 2.62, 3 Pd 2.65
Ga: 0.6667 0.3333 0.7533 (multiplicity 1)  6 Pt 2.64
Pd: 0.3333 0.6667 0.1663 (multiplicity 1)  3 Ga 2.65, 4 Pt 2.93-2.94, 3 Tm 2.93
Pt: 0.0000 0.0000 0.3351 (multiplicity 1)  3 Ga 2.62
Pt: 0.0000 0.0000 0.6651 (multiplicity 1)  3 Ga 2.64, 3 Tm 2.91
Pt: 0.3333 0.6667 0.8412 (multiplicity 1)  3 Ga 2.64, 3 Tm 2.90, 1 Pd 2.93

Material: Tm2Ga2Pd3Pt
Method: DFT, GGA-PBE
State: optimized geometry

Crystal system ... trigonal
E ... -44.29 eV/cell

abc: 4.3749 4.3749 8.9890
angles: 90.00 90.00 120.00
Closest atoms and distances in Å follow each position.
Space group P3m1 (No. 156)
One atom of each set of equivalent atoms:
Tm: 0.0000 0.0000 0.0000 (multiplicity 1)  7 Pd 2.91-2.99, 1 Pt 3.00
Tm: 0.3333 0.6667 0.4961 (multiplicity 1)  3 Pt 2.92, 5 Pd 2.96-3.02
Ga: 0.6667 0.3333 0.2534 (multiplicity 1)  3 Pt 2.63, 3 Pd 2.66
Ga: 0.6667 0.3333 0.7502 (multiplicity 1)  6 Pd 2.63
Pd: 0.0000 0.0000 0.6670 (multiplicity 1)  3 Ga 2.63, 3 Pd 2.93
Pd: 0.3333 0.6667 0.1612 (multiplicity 1)  3 Ga 2.66, 3 Tm 2.91, 1 Pd 2.96, 3 Pt 2.96
Pd: 0.3333 0.6667 0.8322 (multiplicity 1)  3 Ga 2.63, 3 Pd 2.93, 3 Tm 2.94
Pt: 0.0000 0.0000 0.3332 (multiplicity 1)  3 Ga 2.63, 3 Tm 2.92

Material: TmGaPdPt
Method: DFT, GGA-PBE
State: optimized geometry

Crystal system ... hexagonal
E ... -45.53 eV/cell

abc: 4.3729 4.3729 8.9880
angles: 90.00 90.00 120.00
Closest atoms and distances in Å follow each position.
Space group P-6m2 (No. 187)
One atom of each set of equivalent atoms:
Tm: 0.0000 0.0000 0.0000 (multiplicity 1)  6 Pd 2.92, 2 Pt 2.98
Tm: 0.3333 0.6667 0.5000 (multiplicity 1)  6 Pt 2.94, 2 Pd 3.03
Ga: 0.6667 0.3333 0.2534 (multiplicity 2)  3 Pt 2.62, 3 Pd 2.65
Pd: 0.3333 0.6667 0.1631 (multiplicity 2)  3 Ga 2.65, 3 Tm 2.92, 1 Pd 2.93, 3 Pt 2.95
Pt: 0.0000 0.0000 0.3320 (multiplicity 2)  3 Ga 2.62

Material: TmGaPdPt
Method: DFT, GGA-PBE
State: optimized geometry

Crystal system ... hexagonal
E ... -45.60 eV/cell

abc: 4.3668 4.3668 9.0044
angles: 90.00 90.00 120.00
Closest atoms and distances in Å follow each position.
Space group P6_3mc (No. 186)
One atom of each set of equivalent atoms:
Tm: 0.3333 0.6667 0.0000 (multiplicity 2)  4 Pt 2.92-3.03, 4 Pd 2.93-3.01
Ga: 0.0000 0.0000 0.2574 (multiplicity 2)  3 Pt 2.62, 3 Pd 2.65
Pd: 0.3333 0.6667 0.6652 (multiplicity 2)  3 Ga 2.65, 3 Tm 2.93, 4 Pt 2.95-2.96
Pt: 0.3333 0.6667 0.3363 (multiplicity 2)  3 Ga 2.62, 3 Tm 2.92

Material: Y2Ga2PdPt3
Method: DFT, GGA-PBE
State: optimized geometry

Crystal system ... trigonal
E ... -50.52 eV/cell

abc: 4.3877 4.3877 9.1547
angles: 90.00 90.00 120.00
Closest atoms and distances in Å follow each position.
Space group P3m1 (No. 156)
One atom of each set of equivalent atoms:
Y: 0.0000 0.0000 0.0000 (multiplicity 1)  5 Pt 2.93-3.03, 3 Pd 2.97
Y: 0.3333 0.6667 0.4966 (multiplicity 1)  7 Pt 2.96-3.07, 1 Pd 3.06
Ga: 0.6667 0.3333 0.2466 (multiplicity 1)  6 Pt 2.65
Ga: 0.6667 0.3333 0.7407 (multiplicity 1)  3 Pt 2.62, 3 Pd 2.66
Pd: 0.3333 0.6667 0.8309 (multiplicity 1)  3 Ga 2.66, 3 Pt 2.94, 3 Y 2.97
Pt: 0.0000 0.0000 0.3304 (multiplicity 1)  3 Ga 2.65, 3 Y 2.96
Pt: 0.0000 0.0000 0.6689 (multiplicity 1)  3 Ga 2.62
Pt: 0.3333 0.6667 0.1617 (multiplicity 1)  3 Ga 2.65, 3 Y 2.93, 3 Pt 2.97

Material: Zr3ZnGa2PdPt2
Method: DFT, GGA-PBE
State: optimized geometry

Crystal system ... orthorhombic
E ... -116.02 eV/cell

abc: 3.5031 12.5819 7.2673
angles: 90.00 90.00 90.00
Closest atoms and distances in Å follow each position.
Space group Amm2 (No. 38)
One atom of each set of equivalent atoms:
Zr: 0.0000 0.0000 0.0000 (multiplicity 2)  4 Pt 2.83, 1 Pd 2.92, 2 Zn 2.96, 4 Ga 3.12
Zr: 0.0000 0.1977 0.6078 (multiplicity 4)  4 Pt 2.81-2.84, 1 Pd 2.90, 4 Ga 3.02-3.11, 2 Zn 3.08
Zn: 0.5000 0.0000 0.6724 (multiplicity 2)  2 Pd 2.63, 2 Pt 2.71
Ga: 0.5000 0.1320 0.2727 (multiplicity 4)  2 Pd 2.59, 2 Pt 2.70
Pd: 0.0000 0.0000 0.4015 (multiplicity 2)  4 Ga 2.59, 2 Zn 2.63
Pt: 0.5000 0.1679 0.9058 (multiplicity 4)  2 Ga 2.70, 1 Zn 2.71, 6 Zr 2.81-2.84

Material: Zr2Ga2PdPt
Method: DFT, GGA-PBE
State: optimized geometry

Crystal system ... hexagonal
E ... -39.35 eV/cell

abc: 4.5222 4.5222 5.8845
angles: 90.00 90.00 120.00
Closest atoms and distances in Å follow each position.
Space group P-6m2 (No. 187)
One atom of each set of equivalent atoms:
Zr: 0.0000 0.0000 0.2493 (multiplicity 2)  2 Zr 2.93-2.95, 6 Ga 2.99-3.00, 3 Pt 2.99, 3 Pd 3.00
Ga: 0.3333 0.6667 0.0000 (multiplicity 1)  3 Pt 2.61
Ga: 0.6667 0.3333 0.5000 (multiplicity 1)  3 Pd 2.61
Pd: 0.3333 0.6667 0.5000 (multiplicity 1)  3 Ga 2.61
Pt: 0.6667 0.3333 0.0000 (multiplicity 1)  3 Ga 2.61

Material: PuGa4Pd6
Method: DFT, GGA-PBE
State: optimized geometry

Crystal system ... hexagonal
E ... -64.80 eV/cell

abc: 7.4001 7.4001 3.8834
angles: 90.00 90.00 120.00
Closest atoms and distances in Å follow each position.
Space group P-6m2 (No. 187)
One atom of each set of equivalent atoms:
Pu: 0.0000 0.0000 0.0000 (multiplicity 1)  6 Pd 3.18, 6 Ga 3.19
Ga: 0.3333 0.6667 0.0000 (multiplicity 1)  9 Pd 2.56-2.62
Ga: 0.3947 0.1974 0.5000 (multiplicity 3)  6 Pd 2.53-2.60
Pd: 0.1967 0.3933 0.5000 (multiplicity 3)  4 Ga 2.53-2.62
Pd: 0.5334 0.0668 0.0000 (multiplicity 3)  5 Ga 2.56-2.60

Q: Number 6 is which compound?
A: Tm2Ga2Pd3Pt

Q: The lowest E belongs to which entry?
A: Ta2Ga2PdPt

Q: Look up the E of the first one.
A: -122.08 eV/cell